Density functional theory data (PBE-GGA) for a relaxed YMg14Cd crystal.

Cell: 6.6433 6.6433 8.5549 Å, 90.00 90.00 90.00°
Sites, in units of the cell vectors:
Y 0.0000 0.0000 0.0000
Mg 0.0000 0.0000 0.5000
Mg 0.0000 0.5000 0.0000
Mg 0.0000 0.5000 0.5000
Mg 0.2534 0.2534 0.2546
Mg 0.2534 0.2534 0.7454
Mg 0.2534 0.7466 0.2546
Mg 0.2534 0.7466 0.7454
Mg 0.5000 0.0000 0.0000
Mg 0.5000 0.0000 0.5000
Mg 0.5000 0.5000 0.5000
Mg 0.7466 0.2534 0.2546
Mg 0.7466 0.2534 0.7454
Mg 0.7466 0.7466 0.2546
Mg 0.7466 0.7466 0.7454
Cd 0.5000 0.5000 0.0000

DFT formation energy = -0.007 eV/atom
space-group type = P4/mmm, No. 123
total magnetization = 0.00 μB/f.u.

***

Density functional theory data (PBE-GGA) for a relaxed SiSbAsI2 crystal.

Cell: 5.3398 5.3398 5.6544 Å, 90.00 90.00 90.00°
Sites, in units of the cell vectors:
Si 0.0000 0.0000 0.0000
Sb 0.0000 0.0000 0.5000
As 0.5000 0.5000 0.5000
I 0.0000 0.5000 0.0000
I 0.5000 0.0000 0.0000

energy relative to the elements, uncorrected = 0.7200 eV/atom
space-group type = P4/mmm, No. 123
total magnetization = 0.90 μB/f.u.

***

Density functional theory data (PBE-GGA) for a relaxed Ho3ErZn crystal.

Cell: 7.0376 7.0376 7.6188 Å, 116.58 116.58 72.93°
Sites, in units of the cell vectors:
Ho 0.0474 0.0474 0.3083
Ho 0.1097 0.5160 0.2903
Ho 0.4840 0.8903 0.7097
Ho 0.5160 0.1097 0.2903
Ho 0.8903 0.4840 0.7097
Ho 0.9526 0.9526 0.6917
Er 0.4193 0.4193 0.7304
Er 0.5807 0.5807 0.2696
Zn 0.2683 0.2683 0.9398
Zn 0.7317 0.7317 0.0602

DFT formation energy = 0.060 eV/atom
space-group type = C2/m, No. 12
total magnetization = 0.00 μB/f.u.

***

no.,D(E_F) (states/eV/f.u.),VASP energy (eV for the cell shown)
1,8.2,-29.815
2,3.6,-13.695
3,7.7,-38.545